Computed, not measured: a geometry-optimized YTmIrRu structure at the GGA-PBE level of DFT.

Polymorph energy (0 for the lowest one) ... 15 meV/atom
Symmetry ... No. 47

POSCAR file:
```
YTmIrRu
1.0
-0.399 1.801 2.835
-1.701 -3.890 2.233
4.463 -1.166 1.369
Tm Ir Ru Y
1 1 1 1
direct
0.500 0.000 0.500
0.000 0.500 0.500
0.000 0.000 0.000
0.500 0.500 0.000
```

=====

Computed, not measured: a geometry-optimized U2IrRu structure at the GGA-PBE level of DFT.

Symmetry ... No. 166

POSCAR file:
```
U2IrRu
1.0
-3.424 1.571 1.045
-3.034 -2.314 0.850
-0.334 -0.374 6.781
Ir Ru U
1 1 2
direct
0.500 0.500 0.500
0.000 0.000 0.000
0.252 0.252 0.245
0.748 0.748 0.755
```

=====

Computed, not measured: a geometry-optimized U2IrRu structure at the GGA-PBE level of DFT.

Symmetry ... No. 123

POSCAR file:
```
U2IrRu
1.0
-1.693 -2.699 -1.194
2.516 -2.039 1.041
-3.068 -0.727 5.994
U Ru Ir
2 1 1
direct
0.000 0.000 0.748
0.000 0.000 0.252
0.500 0.500 0.500
0.500 0.500 0.000
```

=====

Computed, not measured: a geometry-optimized U4Ir12Ru structure at the GGA-PBE level of DFT.

Symmetry ... No. 229

POSCAR file:
```
U4Ir12Ru
1.0
-3.342 5.527 3.263
-2.453 -6.243 2.714
7.130 0.486 1.131
Ir U Ru
12 4 1
direct
0.750 0.250 0.500
0.000 0.704 0.704
0.500 0.250 0.750
0.704 0.704 0.000
0.250 0.750 0.500
0.296 0.000 0.296
0.250 0.500 0.750
0.750 0.500 0.250
0.296 0.296 0.000
0.500 0.750 0.250
0.000 0.296 0.296
0.704 0.000 0.704
0.000 0.000 0.500
0.500 0.500 0.500
0.500 0.000 0.000
0.000 0.500 0.000
0.000 0.000 0.000
```

=====

Number 1: ΔE_f -0.6235 eV per atom, size of the total moment 0.00 μB/atom, N(E_F) 1.50 states/eV/f.u.. Number 2: ΔE_f -0.2151 eV per atom, size of the total moment 0.57 μB/atom, N(E_F) 11.60 states/eV/f.u.. Number 3: ΔE_f -0.2384 eV per atom, size of the total moment 0.98 μB/atom, N(E_F) 7.13 states/eV/f.u.. Number 4: ΔE_f -0.3428 eV per atom, size of the total moment 0.17 μB/atom, N(E_F) 25.40 states/eV/f.u..